Record 1
VASP calculation (PBE) on an optimized crystal structure of SnSeS.

Geometry as POSCAR:
```
SnSeS
1.0
3.7845 0.0000 0.0000
-1.8923 3.2775 0.0000
0.0000 0.0000 6.6840
Sn Se S
1 1 1
direct
0.0000 0.0000 0.0000
0.6667 0.3333 0.7585
0.3333 0.6667 0.2186
```

The calculation puts the excess energy over the best structure of this formula in the dataset at 0.21 kcal/mol of atoms. As for the space group: P3m1 (156). The uncorrected formation energy comes out at -0.350 eV per atom.


Record 2
VASP calculation (PBE) on an optimized crystal structure of SrCdOs2.

Geometry as POSCAR:
```
SrCdOs2
1.0
1.5851 -2.3740 0.0000
1.5851 2.3740 0.0000
0.0000 0.0000 9.8356
Sr Cd Os
1 1 2
direct
0.0000 0.0000 0.0000
0.0000 0.0000 0.5000
0.5000 0.5000 0.2622
0.5000 0.5000 0.7378
```

For the density of states at the Fermi level, the calculation gives 4.02 states/eV/cell. As for the space group: Cmmm (65). The value obtained for the calculated formation energy is 1.040 eV per atom.


Record 3
VASP calculation (PBE) on an optimized crystal structure of TbPr2In.

Geometry as POSCAR:
```
TbPr2In
1.0
1.8551 1.0711 11.1237
-1.8551 1.0711 11.1237
0.0000 -2.1421 11.1237
Tb Pr In
1 2 1
direct
0.0000 0.0000 0.0000
0.2453 0.2453 0.2453
0.4216 0.4216 0.4216
0.8338 0.8338 0.8338
```

For the density of states at the Fermi level, the calculation gives 6.07 states/eV/cell. The calculation puts the excess energy over the best structure of this formula in the dataset at 3.66 kcal/mol of atoms. As for the space group: R3m (160). The value obtained for the calculated formation energy is -0.110 eV per atom.